--- one ---
A relaxed Tm3Cd2Hg7 crystal, computed with GGA-PBE.

Computed properties:
**SG**: P2/m

Geometry as POSCAR:
```
Tm3Cd2Hg7
1.0
-3.3142 0.1415 0.9674
-1.6108 -2.3254 -5.1785
-0.0052 -14.8264 2.1506
Cd Tm Hg
2 3 7
Direct
0.5000 0.3885 0.6760
0.5000 0.6115 0.3240
0.5000 0.5000 0.0000
0.0000 0.1077 0.3386
0.0000 0.8923 0.6614
0.5000 0.9421 0.8295
0.0000 0.4497 0.8342
0.5000 0.2457 0.5010
0.0000 0.5503 0.1658
0.0000 0.0000 0.0000
0.5000 0.0579 0.1705
0.5000 0.7543 0.4990
```



--- two ---
A relaxed Tm3Cd2Hg7 crystal, computed with GGA-PBE.

Computed properties:
**SG**: P2/m

Geometry as POSCAR:
```
Tm3Cd2Hg7
1.0
-2.0055 2.3386 -1.5867
-3.6857 -3.4918 -0.4880
-4.5909 6.4073 15.2465
Cd Hg Tm
2 7 3
Direct
0.5000 0.3526 0.7071
0.5000 0.6474 0.2929
0.0000 0.0000 0.0000
0.5000 0.8917 0.7861
0.0000 0.5760 0.1450
0.0000 0.4240 0.8550
0.5000 0.1083 0.2139
0.5000 0.2707 0.5421
0.5000 0.7293 0.4579
0.0000 0.1917 0.3818
0.0000 0.8083 0.6182
0.5000 0.5000 0.0000
```



Which of the structures shown above is the most stable? The most stable is one.